Record 1
VASP calculation (PBE) on an optimized crystal structure of Tm4GaRh3.

Cell lengths 3.4642, 4.8085, 9.5751 Å; angles 90.00, 90.00, 90.00 degrees
Element x y z (fractional)
Tm1 0.0000 0.0000 0.0000
Tm2 0.0000 0.0000 0.5000
Tm3 0.0000 0.5000 0.2408
Tm4 0.0000 0.5000 0.7592
Ga1 0.5000 0.5000 0.5000
Rh1 0.5000 0.0000 0.2501
Rh2 0.5000 0.0000 0.7499
Rh3 0.5000 0.5000 0.0000

Output
For the energy relative to the elements, the calculation gives -861 meV/atom. Its density of states at the Fermi level is 4.83 states/eV per cell. The volume comes out at 159.50 Å³/cell.



Record 2
VASP calculation (PBE) on an optimized crystal structure of Ac12FeCo5.

Cell lengths 7.3398, 7.3398, 13.6217 Å; angles 95.10, 95.10, 120.05 degrees
Element x y z (fractional)
Ac1 0.0379 0.7073 0.6143
Ac2 0.1296 0.4631 0.8860
Ac3 0.2039 0.2039 0.1137
Ac4 0.2927 0.9621 0.3857
Ac5 0.3687 0.3687 0.6143
Ac6 0.4631 0.1296 0.8860
Ac7 0.5369 0.8704 0.1140
Ac8 0.6313 0.6313 0.3857
Ac9 0.7073 0.0379 0.6143
Ac10 0.7961 0.7961 0.8863
Ac11 0.8704 0.5369 0.1140
Ac12 0.9621 0.2927 0.3857
Fe1 0.0000 0.0000 0.5000
Co1 0.1667 0.8333 0.0000
Co2 0.3333 0.6667 0.5000
Co3 0.5000 0.5000 0.0000
Co4 0.6667 0.3333 0.5000
Co5 0.8333 0.1667 0.0000

Output
For the energy relative to the elements, the calculation gives 14 meV/atom. Its density of states at the Fermi level is 17.43 states/eV per cell. The volume comes out at 625.04 Å³/cell.



Record 3
VASP calculation (PBE) on an optimized crystal structure of PrDy2HoSe6.

Cell lengths 7.7507, 7.7507, 7.7507 Å; angles 56.07, 56.07, 56.07 degrees
Element x y z (fractional)
Pr1 0.0000 0.0000 0.0000
Dy1 0.2962 0.2962 0.2962
Dy2 0.8003 0.8003 0.8003
Ho1 0.4937 0.4937 0.4937
Se1 0.0880 0.6817 0.4160
Se2 0.2024 0.5853 0.8956
Se3 0.4160 0.0880 0.6817
Se4 0.5853 0.8956 0.2024
Se5 0.6817 0.4160 0.0880
Se6 0.8956 0.2024 0.5853

Output
Its density of states at the Fermi level is 0.00 states/eV per cell. The volume comes out at 299.27 Å³/cell. The value obtained for the formation energy (no corrections) is -18.446 eV per formula unit.